[1]
# PmDy4Ho10

A geometry-optimized PmDy4Ho10 structure (PBE, Alexandria).

```
PmDy4Ho10
1.0
-4.4582 -0.5874 6.1928
-1.3871 -8.8148 2.8943
4.6815 0.2699 8.1248
Ho Dy Pm
10 4 1
Cartesian
1.0487 -0.8305 3.0555
-4.2862 -6.6259 8.0935
-1.1664 -1.1223 6.1325
-2.2124 -8.3018 14.1565
3.1225 -2.5063 9.1185
-2.0711 -6.3341 5.0165
-1.6964 -4.7130 10.1542
0.9074 -2.7982 12.1955
0.5327 -4.4193 7.0578
0.0027 -8.0099 11.0795
-0.1439 -1.9638 9.1682
-0.5017 -3.5905 4.0272
-0.6620 -5.5417 13.1847
-1.0199 -7.1685 8.0438
0.0000 0.0000 0.0000
```

Output
The total magnetization comes out at 0.0 μB per formula unit. The total energy is -3.86 eV per atom.

---

[2]
# Ga3PtN

A geometry-optimized Ga3PtN structure (PBE, Alexandria).

```
Ga3PtN
1.0
-1.5641 0.1534 -3.8987
-0.9494 -4.0890 0.2200
-3.7844 0.9624 1.5561
N Ga Pt
1 3 1
Cartesian
0.0000 0.0000 0.0000
-0.7820 0.0767 -1.9493
-0.4747 -2.0445 0.1100
-1.8922 0.4812 0.7780
-3.1489 -1.4866 -1.0613
```

Output
The total magnetization comes out at 0.0 μB per formula unit. Its formation energy without anion corrections is 0.2512 eV/atom. The total energy is -4.44 eV per atom.

---

[3]
# TePdRh2

A geometry-optimized TePdRh2 structure (PBE, Alexandria).

```
TePdRh2
1.0
-0.0831 -0.8716 -3.7636
4.0695 0.3746 -0.1766
0.4047 -3.9674 0.9099
Rh Te Pd
2 1 1
Cartesian
2.0347 0.1873 -0.0883
0.2023 -1.9837 0.4549
-0.0415 -0.4358 -1.8818
2.1955 -2.2322 -1.5152
```

Output
The total magnetization comes out at 0.0 μB per formula unit. Its formation energy without anion corrections is -0.0336 eV/atom. The total energy is -5.79 eV per atom.

---

[4]
# La5Si3O

A geometry-optimized La5Si3O structure (PBE, Alexandria).

```
La5Si3O
1.0
-0.9521 7.2367 3.5080
-3.3402 2.8575 -6.8014
-4.2938 -7.0247 3.9786
La Si O
10 6 2
Cartesian
-2.1462 5.0471 -1.6467
-4.7630 -3.3528 -0.6531
-5.8120 0.7556 -0.0657
-2.7742 2.3138 0.7509
-3.2562 -3.5404 3.3492
-5.3299 6.6098 -2.6641
-3.8231 6.4222 1.3383
0.0000 0.0000 0.0000
-4.2810 2.5013 -3.2515
-4.3051 0.5681 3.9366
-3.3127 5.2915 -4.6610
-1.3899 1.9426 -2.1911
-2.9024 8.1516 -1.1023
-3.2200 -0.9888 1.1659
-0.9797 4.8027 1.3676
-5.3662 4.0582 -0.4808
-3.6960 2.6295 2.9199
-4.8901 0.4399 -2.2348
```

Output
The total magnetization comes out at 0.1 μB per formula unit. Its formation energy without anion corrections is -1.1505 eV/atom. The total energy is -6.25 eV per atom.

---

[5]
# NaSc2RhC

A geometry-optimized NaSc2RhC structure (PBE, Alexandria).

```
NaSc2RhC
1.0
5.1733 0.0000 0.0000
0.0000 3.9457 0.0000
0.0000 0.0000 5.1733
C Sc Na Rh
1 2 1 1
Cartesian
0.0000 1.9729 0.0000
2.5866 0.0000 0.0000
0.0000 0.0000 2.5866
2.5866 1.9729 2.5866
0.0000 0.0000 0.0000
```

Output
The total magnetization comes out at 0.5 μB per formula unit. The total energy is -5.67 eV per atom.

---

[6]
# SrInSn2Rh2

A geometry-optimized SrInSn2Rh2 structure (PBE, Alexandria).

```
SrInSn2Rh2
1.0
-1.3952 -0.9962 4.6490
1.8502 -4.5768 -0.4255
5.4510 2.0115 2.0670
Sn Rh In Sr
2 2 1 1
Cartesian
4.3467 -1.2665 3.6737
1.5594 -2.2951 2.6168
0.9251 -2.2884 -0.2127
-0.6976 -0.4981 2.3245
0.0000 0.0000 0.0000
2.7255 1.0057 1.0335
```

Output
The total magnetization comes out at 0.0 μB per formula unit. The total energy is -4.76 eV per atom.

---

[7]
# Ag2SnPb

A geometry-optimized Ag2SnPb structure (PBE, Alexandria).

```
Ag2SnPb
1.0
3.7014 0.0000 0.0000
0.0000 3.7014 0.0000
0.0000 0.0000 6.8629
Ag Pb Sn
2 1 1
Cartesian
0.0000 0.0000 1.5731
0.0000 0.0000 5.2899
1.8507 1.8507 3.4315
1.8507 1.8507 0.0000
```

Output
The total magnetization comes out at 0.0 μB per formula unit. The total energy is -3.26 eV per atom.